VASP calculation (PBE) on a relaxed structure of Sc2MoOs.

Calculated values
Formation energy from the elements, eV per formula unit: 0.79
Final energy, eV per atom: -8.4833
Spin magnetization, μB/f.u.: 0.000
Volume, A^3/atom: 18.88

a = 9.494 Å, b = 9.494 Å, c = 9.494 Å
α = 18.53°, β = 18.53°, γ = 18.53°
Sites, in units of the cell vectors:
Sc 0.000 0.000 0.000
Sc 0.228 0.228 0.228
Mo 0.749 0.749 0.749
Os 0.485 0.485 0.485